[1]
A plane-wave DFT calculation with PBE-GGA was carried out for crystalline BaCrP2S at its relaxed geometry.

a = 5.896 Å, b = 5.896 Å, c = 5.697 Å
α = 90.00°, β = 90.00°, γ = 90.00°
Space group P4/mmm (No. 123)
One atom of each set of equivalent atoms:
Ba1 0.000 0.000 0.000
Cr1 0.500 0.500 0.500
P1 0.000 0.500 0.000
S1 0.000 0.000 0.500

- Fermi-level density of states: 5.4 states/eV/f.u.
- ΔE_f (raw): 1.38 eV/atom
- ΔE to the lowest computed polymorph: 1917 meV/atom

[2]
A plane-wave DFT calculation with PBE-GGA was carried out for crystalline Pr4Dy2Bi3N2 at its relaxed geometry.

a = 4.868 Å, b = 4.868 Å, c = 26.369 Å
α = 90.00°, β = 90.00°, γ = 90.00°
Space group I4/mmm (No. 139)
One atom of each set of equivalent atoms:
Pr1 0.000 0.500 0.085
Dy1 0.000 0.000 0.191
Bi1 0.000 0.000 0.317
Bi2 0.000 0.000 0.500
N1 0.000 0.000 0.109

- Fermi-level density of states: 4.3 states/eV/f.u.
- ΔE_f (raw): -0.97 eV/atom

[3]
A plane-wave DFT calculation with PBE-GGA was carried out for crystalline AcLa2Al2Sn2 at its relaxed geometry.

a = 4.7775 Å, b = 4.7775 Å, c = 31.0445 Å
α = 90.00°, β = 90.00°, γ = 120.00°
Space group R-3m (No. 166, hexagonal axes)
One atom of each set of equivalent atoms:
Ac1 0.0000 0.0000 0.0000
La1 0.0000 0.0000 0.1324
Al1 0.0000 0.0000 0.4137
Sn1 0.0000 0.0000 0.2643

- Fermi-level density of states: 4.0 states/eV/f.u.
- DFT formation energy: -0.385 eV/atom

[4]
A plane-wave DFT calculation with PBE-GGA was carried out for crystalline TlAg2Pb at its relaxed geometry.

a = 3.597 Å, b = 4.983 Å, c = 10.765 Å
α = 90.00°, β = 90.00°, γ = 90.00°
Space group Imm2 (No. 44)
One atom of each set of equivalent atoms:
Tl1 0.000 0.000 0.000
Ag1 0.000 0.000 0.472
Ag2 0.000 0.500 0.762
Pb1 0.000 0.500 0.221

- Fermi-level density of states: 1.3 states/eV/f.u.
- DFT formation energy: 0.122 eV/atom
- ΔE to the lowest computed polymorph: 39 meV/atom

[5]
A plane-wave DFT calculation with PBE-GGA was carried out for crystalline MnPbS2Cl at its relaxed geometry.

a = 5.256 Å, b = 5.256 Å, c = 5.222 Å
α = 90.00°, β = 90.00°, γ = 90.00°
Space group P4/mmm (No. 123)
One atom of each set of equivalent atoms:
Mn1 0.000 0.000 0.000
Pb1 0.500 0.500 0.500
S1 0.000 0.500 0.500
Cl1 0.500 0.500 0.000

- Fermi-level density of states: 2.1 states/eV/f.u.
- ΔE_f (raw): 0.39 eV/atom
- ΔE to the lowest computed polymorph: 862 meV/atom

[6]
A plane-wave DFT calculation with PBE-GGA was carried out for crystalline SrLaZn2 at its relaxed geometry.

a = 3.473 Å, b = 6.482 Å, c = 12.763 Å
α = 90.00°, β = 90.00°, γ = 90.00°
Space group Immm (No. 71)
One atom of each set of equivalent atoms:
Sr1 0.000 0.000 0.000
La1 0.000 0.000 0.500
Zn1 0.000 0.000 0.258

- Fermi-level density of states: 5.4 states/eV/f.u.
- DFT formation energy: 0.606 eV/atom

[7]
A plane-wave DFT calculation with PBE-GGA was carried out for crystalline DyTm8Te2 at its relaxed geometry.

a = 17.711 Å, b = 11.151 Å, c = 3.784 Å
α = 90.00°, β = 95.87°, γ = 90.00°
Space group C2/m (No. 12)
One atom of each set of equivalent atoms:
Dy1 0.000 0.000 0.000
Tm1 0.070 0.500 0.281
Tm2 0.086 0.259 0.782
Tm3 0.228 0.500 0.859
Te1 0.138 0.000 0.570

- Fermi-level density of states: 11.9 states/eV/f.u.
- ΔE_f (raw): -0.14 eV/atom

[8]
A plane-wave DFT calculation with PBE-GGA was carried out for crystalline LiPd2Rh2 at its relaxed geometry.

a = 7.677 Å, b = 7.677 Å, c = 2.738 Å
α = 90.00°, β = 90.00°, γ = 90.00°
Space group P4/mbm (No. 127)
One atom of each set of equivalent atoms:
Li1 0.000 0.000 0.000
Pd1 0.126 0.374 0.000
Rh1 0.172 0.672 0.500

- Fermi-level density of states: 10.5 states/eV/f.u.
- DFT formation energy: 0.138 eV/atom
- ΔE to the lowest computed polymorph: 55 meV/atom